(1)
Material: Pm2Ga2Ru
Method: DFT, PBE
State: relaxed

Cell: 4.2244 4.2244 8.1314 Å, 90.00 90.00 120.00°
Fractional coordinates of all 5 atoms:
1 Pm 0.3333 0.6667 0.1958
2 Pm 0.6667 0.3333 0.8042
3 Ga 0.3333 0.6667 0.5909
4 Ga 0.6667 0.3333 0.4091
5 Ru 0.0000 0.0000 0.5000

Total DFT energy (no corrections): -5.285 eV per atom
Theoretical density: 7.010 Mg/m³
Space-group type: P-3m1 (164)

(2)
Material: BaCd2InGa
Method: DFT, PBE
State: relaxed

Cell: 6.9185 6.9185 6.9185 Å, 139.95 138.98 58.67°
Fractional coordinates of all 5 atoms:
1 Ba 0.0000 0.0000 0.0000
2 Cd 0.6134 0.6134 0.0000
3 Cd 0.7617 0.2617 0.5000
4 In 0.2553 0.7553 0.5000
5 Ga 0.3874 0.3874 0.0000

Total DFT energy (no corrections): -2.249 eV per atom
Theoretical density: 6.552 Mg/m³
Space-group type: Imm2 (44)

(3)
Material: HoPaSb2
Method: DFT, PBE
State: relaxed

Cell: 7.8854 7.8854 7.8854 Å, 31.60 31.60 31.60°
Fractional coordinates of all 4 atoms:
1 Ho 0.0000 0.0000 0.0000
2 Pa 0.8265 0.8265 0.8265
3 Sb 0.2453 0.2453 0.2453
4 Sb 0.4131 0.4131 0.4131

E_form (uncorrected): -0.6588 eV/atom
Total DFT energy (no corrections): -6.238 eV per atom
Theoretical density: 8.883 Mg/m³
Space-group type: R3m (160)

(4)
Material: KLi3Br
Method: DFT, PBE
State: relaxed

Cell: 6.0457 6.0457 6.0457 Å, 90.00 90.00 90.00°
Fractional coordinates of all 5 atoms:
1 K 0.0000 0.0000 0.0000
2 Li 0.0000 0.0000 0.5000
3 Li 0.0000 0.5000 0.0000
4 Li 0.5000 0.0000 0.0000
5 Br 0.5000 0.5000 0.5000

E_form (uncorrected): 0.3758 eV/atom
Total DFT energy (no corrections): -1.327 eV per atom
Theoretical density: 1.051 Mg/m³
Space-group type: Pm-3m (221)

(5)
Material: YSbBr2
Method: DFT, PBE
State: relaxed

Cell: 4.8119 4.8119 5.1045 Å, 90.00 90.00 90.01°
Fractional coordinates of all 4 atoms:
1 Y 0.0000 0.0000 0.0000
2 Sb 0.5000 0.5000 0.0000
3 Br 0.2308 0.2308 0.5000
4 Br 0.7692 0.7692 0.5000

E_form (uncorrected): -0.7740 eV/atom
Total DFT energy (no corrections): -4.257 eV per atom
Theoretical density: 5.205 Mg/m³
Space-group type: Cmmm (65)

(6)
Material: Sc2BeAuN
Method: DFT, PBE
State: relaxed

Cell: 4.6282 4.6282 3.3727 Å, 90.00 90.00 90.00°
Fractional coordinates of all 5 atoms:
1 Sc 0.0000 0.5000 0.0000
2 Sc 0.5000 0.0000 0.0000
3 Be 0.0000 0.0000 0.5000
4 Au 0.5000 0.5000 0.5000
5 N 0.0000 0.0000 0.0000

E_form (uncorrected): -0.9597 eV/atom
Total DFT energy (no corrections): -6.558 eV per atom
Theoretical density: 7.123 Mg/m³
Space-group type: P4/mmm (123)

(7)
Material: Sr2DyHoS4
Method: DFT, PBE
State: relaxed

Cell: 6.9709 4.0314 7.1572 Å, 90.00 109.00 90.00°
Fractional coordinates of all 8 atoms:
1 Sr 0.0000 0.0000 0.0000
2 Sr 0.5000 0.5000 0.0000
3 Dy 0.0000 0.5000 0.5000
4 Ho 0.5000 0.0000 0.5000
5 S 0.2439 0.0000 0.7282
6 S 0.2583 0.5000 0.2724
7 S 0.7417 0.5000 0.7276
8 S 0.7561 0.0000 0.2718

E_form (uncorrected): -2.0330 eV/atom
Total DFT energy (no corrections): -5.665 eV per atom
Theoretical density: 5.509 Mg/m³
Space-group type: P2/m (10)

(8)
Material: CePOs
Method: DFT, PBE
State: relaxed

Cell: 4.1110 4.1110 3.9711 Å, 90.00 90.00 120.00°
Fractional coordinates of all 3 atoms:
1 Ce 0.0000 0.0000 0.0000
2 P 0.3333 0.6667 0.5000
3 Os 0.6667 0.3333 0.5000

Total DFT energy (no corrections): -8.290 eV per atom
Theoretical density: 10.323 Mg/m³
Space-group type: P-6m2 (187)

(9)
Material: BaTi3Sn
Method: DFT, PBE
State: relaxed

Cell: 5.3406 5.3406 5.3406 Å, 90.00 90.00 90.00°
Fractional coordinates of all 5 atoms:
1 Ba 0.0000 0.0000 0.0000
2 Ti 0.0000 0.5000 0.5000
3 Ti 0.5000 0.0000 0.5000
4 Ti 0.5000 0.5000 0.0000
5 Sn 0.5000 0.5000 0.5000

Total DFT energy (no corrections): -5.113 eV per atom
Theoretical density: 4.356 Mg/m³
Space-group type: Pm-3m (221)

(10)
Material: MgPa2Si3Pd4
Method: DFT, PBE
State: relaxed

Cell: 4.1104 4.1104 10.6070 Å, 90.00 90.00 90.00°
Fractional coordinates of all 10 atoms:
1 Mg 0.0000 0.0000 0.0000
2 Pa 0.0000 0.5000 0.7394
3 Pa 0.5000 0.0000 0.2606
4 Si 0.0000 0.5000 0.3703
5 Si 0.5000 0.0000 0.6297
6 Si 0.5000 0.5000 0.0000
7 Pd 0.0000 0.0000 0.5000
8 Pd 0.0000 0.5000 0.1466
9 Pd 0.5000 0.0000 0.8534
10 Pd 0.5000 0.5000 0.5000

E_form (uncorrected): -0.6763 eV/atom
Total DFT energy (no corrections): -6.439 eV per atom
Theoretical density: 9.232 Mg/m³
Space-group type: P-4m2 (115)

(11)
Material: Li3In2BIr3
Method: DFT, PBE
State: relaxed

Cell: 7.0513 7.0513 2.9706 Å, 90.00 90.00 120.00°
Fractional coordinates of all 9 atoms:
1 Li 0.0000 0.6445 0.0000
2 Li 0.3555 0.3555 0.0000
3 Li 0.6445 0.0000 0.0000
4 In 0.3333 0.6667 0.5000
5 In 0.6667 0.3333 0.5000
6 B 0.0000 0.0000 0.0000
7 Ir 0.0000 0.2355 0.5000
8 Ir 0.2355 0.0000 0.5000
9 Ir 0.7645 0.7645 0.5000

Total DFT energy (no corrections): -5.239 eV per atom
Theoretical density: 10.878 Mg/m³
Space-group type: P-62m (189)

(12)
Material: ZrGaReW2
Method: DFT, PBE
State: relaxed

Cell: 4.7950 4.7950 4.8160 Å, 90.00 90.00 90.00°
Fractional coordinates of all 5 atoms:
1 Zr 0.0000 0.0000 0.0000
2 Ga 0.0000 0.0000 0.5000
3 Re 0.5000 0.5000 0.5000
4 W 0.0000 0.5000 0.0000
5 W 0.5000 0.0000 0.0000

Total DFT energy (no corrections): -7.368 eV per atom
Theoretical density: 10.720 Mg/m³
Space-group type: P4/mmm (123)

- The highest total DFT energy (no corrections) belongs to which entry?
  KLi3Br

- Which value of total DFT energy (no corrections) does entry 5 give?
  -4.257 eV per atom

- theoretical density of number 9 (BaTi3Sn)?
  4.356 Mg/m³

- Look up the theoretical density of the twelfth one.
  10.720 Mg/m³